1.
Density functional theory data (PBE) for a relaxed ZnGaFeCu crystal.

CIF file:
```
data_ZnGaFeCu
_space_group_name_H-M_alt 'P 1'
_space_group_IT_number 1
_space_group_name_Hall 'P 1'
_cell_length_a 4.1457
_cell_length_b 4.1457
_cell_length_c 4.1457
_cell_angle_alpha 60.00
_cell_angle_beta 60.00
_cell_angle_gamma 60.00
loop_
_atom_site_label
_atom_site_type_symbol
_atom_site_fract_x
_atom_site_fract_y
_atom_site_fract_z
Ga1 Ga 0.2500 0.2500 0.2500
Zn1 Zn 0.5000 0.5000 0.5000
Fe1 Fe 0.0000 0.0000 0.0000
Cu1 Cu 0.7500 0.7500 0.7500
```

Values from the calculation:
E: -3.986 eV/atom
Space group: F-43m, No. 216
Crystal system: cubic

=====

2.
Density functional theory data (PBE) for a relaxed BeGaRe crystal.

CIF file:
```
data_BeGaRe
_space_group_name_H-M_alt 'P 1'
_space_group_IT_number 1
_space_group_name_Hall 'P 1'
_cell_length_a 4.0678
_cell_length_b 4.0678
_cell_length_c 4.0678
_cell_angle_alpha 60.00
_cell_angle_beta 60.00
_cell_angle_gamma 60.00
loop_
_atom_site_label
_atom_site_type_symbol
_atom_site_fract_x
_atom_site_fract_y
_atom_site_fract_z
Be1 Be 0.2500 0.2500 0.2500
Re1 Re 0.0000 0.0000 0.0000
Ga1 Ga 0.7500 0.7500 0.7500
```

Values from the calculation:
E: -5.599 eV/atom
Space group: F-43m, No. 216
Crystal system: cubic

=====

3.
Density functional theory data (PBE) for a relaxed PrNbAu crystal.

CIF file:
```
data_PrNbAu
_space_group_name_H-M_alt 'P 1'
_space_group_IT_number 1
_space_group_name_Hall 'P 1'
_cell_length_a 4.7218
_cell_length_b 4.7218
_cell_length_c 4.7218
_cell_angle_alpha 60.00
_cell_angle_beta 60.00
_cell_angle_gamma 60.00
loop_
_atom_site_label
_atom_site_type_symbol
_atom_site_fract_x
_atom_site_fract_y
_atom_site_fract_z
Pr1 Pr 0.7500 0.7500 0.7500
Au1 Au 0.2500 0.2500 0.2500
Nb1 Nb 0.0000 0.0000 0.0000
```

Values from the calculation:
Space group: F-43m, No. 216
Energy of formation: 0.59 eV/atom
Crystal system: cubic

=====

4.
Density functional theory data (PBE) for a relaxed TmAsNO crystal.

CIF file:
```
data_TmAsNO
_space_group_name_H-M_alt 'P 1'
_space_group_IT_number 1
_space_group_name_Hall 'P 1'
_cell_length_a 4.8083
_cell_length_b 4.8083
_cell_length_c 4.6419
_cell_angle_alpha 90.00
_cell_angle_beta 90.00
_cell_angle_gamma 90.00
loop_
_atom_site_label
_atom_site_type_symbol
_atom_site_fract_x
_atom_site_fract_y
_atom_site_fract_z
As1 As 0.0000 0.5000 0.0219
As2 As 0.5000 0.0000 0.9781
Tm1 Tm 0.0000 0.0000 0.5000
Tm2 Tm 0.5000 0.5000 0.5000
O1 O 0.0000 0.0000 0.0000
O2 O 0.5000 0.5000 0.0000
N1 N 0.5000 0.0000 0.5757
N2 N 0.0000 0.5000 0.4243
```

Values from the calculation:
E: -6.725 eV/atom
Space group: P4/nmm, No. 129
Crystal system: tetragonal

=====

5.
Density functional theory data (PBE) for a relaxed NaYCdTe3 crystal.

CIF file:
```
data_NaYCdTe3
_space_group_name_H-M_alt 'P 1'
_space_group_IT_number 1
_space_group_name_Hall 'P 1'
_cell_length_a 8.6689
_cell_length_b 4.5136
_cell_length_c 18.8153
_cell_angle_alpha 90.00
_cell_angle_beta 90.00
_cell_angle_gamma 90.00
loop_
_atom_site_label
_atom_site_type_symbol
_atom_site_fract_x
_atom_site_fract_y
_atom_site_fract_z
Te1 Te 0.9926 0.2500 0.5745
Te2 Te 0.7723 0.2500 0.2077
Te3 Te 0.5074 0.7500 0.0745
Te4 Te 0.4926 0.2500 0.9255
Te5 Te 0.7277 0.7500 0.7077
Te6 Te 0.6265 0.2500 0.4346
Te7 Te 0.0074 0.7500 0.4255
Te8 Te 0.1265 0.2500 0.0654
Te9 Te 0.8735 0.7500 0.9346
Te10 Te 0.2277 0.7500 0.7923
Te11 Te 0.3735 0.7500 0.5654
Te12 Te 0.2723 0.2500 0.2923
Y1 Y 0.7281 0.7500 0.5387
Y2 Y 0.2719 0.2500 0.4613
Y3 Y 0.7719 0.2500 0.0387
Y4 Y 0.2281 0.7500 0.9613
Na1 Na 0.9381 0.2500 0.8029
Na2 Na 0.5619 0.7500 0.3029
Na3 Na 0.0619 0.7500 0.1971
Na4 Na 0.4381 0.2500 0.6971
Cd1 Cd 0.5642 0.7500 0.8358
Cd2 Cd 0.4358 0.2500 0.1642
Cd3 Cd 0.9358 0.2500 0.3358
Cd4 Cd 0.0642 0.7500 0.6642
```

Values from the calculation:
E: -3.917 eV/atom
Space group: Pnma, No. 62
Crystal system: orthorhombic

=====

6.
Density functional theory data (PBE) for a relaxed Er3Ni4P4 crystal.

CIF file:
```
data_Er3Ni4P4
_space_group_name_H-M_alt 'P 1'
_space_group_IT_number 1
_space_group_name_Hall 'P 1'
_cell_length_a 3.8300
_cell_length_b 3.8448
_cell_length_c 11.6889
_cell_angle_alpha 99.47
_cell_angle_beta 99.41
_cell_angle_gamma 90.01
loop_
_atom_site_label
_atom_site_type_symbol
_atom_site_fract_x
_atom_site_fract_y
_atom_site_fract_z
Ni1 Ni 0.4046 0.9046 0.8097
Ni2 Ni 0.7493 0.7493 0.4983
Ni3 Ni 0.2507 0.2507 0.5017
Ni4 Ni 0.5954 0.0954 0.1903
P1 P 0.5516 0.5515 0.1025
P2 P 0.6931 0.1933 0.3861
P3 P 0.3069 0.8067 0.6139
P4 P 0.4484 0.4485 0.8975
Er1 Er 0.8507 0.3506 0.7016
Er2 Er 0.1493 0.6494 0.2984
Er3 Er 0.0000 0.0000 0.0000
```

Values from the calculation:
E: -6.381 eV/atom
Space group: Immm, No. 71
Crystal system: orthorhombic

=====

7.
Density functional theory data (PBE) for a relaxed Tb2ErHg3PdAu2 crystal.

CIF file:
```
data_Tb2ErHg3PdAu2
_space_group_name_H-M_alt 'P 1'
_space_group_IT_number 1
_space_group_name_Hall 'P 1'
_cell_length_a 3.7533
_cell_length_b 7.8877
_cell_length_c 7.8877
_cell_angle_alpha 119.91
_cell_angle_beta 90.00
_cell_angle_gamma 90.00
loop_
_atom_site_label
_atom_site_type_symbol
_atom_site_fract_x
_atom_site_fract_y
_atom_site_fract_z
Au1 Au 0.5000 0.6663 0.3345
Au2 Au 0.5000 0.3345 0.6663
Pd1 Pd 0.0000 0.9993 0.9993
Hg1 Hg 0.5000 0.9998 0.7326
Hg2 Hg 0.5000 0.7326 0.9998
Hg3 Hg 0.5000 0.2673 0.2673
Tb1 Tb 0.0000 0.3922 0.9998
Tb2 Tb 0.0000 0.9998 0.3922
Er1 Er 0.0000 0.6081 0.6081
```

Values from the calculation:
Space group: Amm2, No. 38
Energy of formation: -0.67 eV/atom
Crystal system: orthorhombic

=====

8.
Density functional theory data (PBE) for a relaxed PaAsAuO crystal.

CIF file:
```
data_PaAsAuO
_space_group_name_H-M_alt 'P 1'
_space_group_IT_number 1
_space_group_name_Hall 'P 1'
_cell_length_a 6.1429
_cell_length_b 4.3770
_cell_length_c 6.4140
_cell_angle_alpha 90.00
_cell_angle_beta 90.01
_cell_angle_gamma 90.00
loop_
_atom_site_label
_atom_site_type_symbol
_atom_site_fract_x
_atom_site_fract_y
_atom_site_fract_z
Au1 Au 0.4908 0.5000 0.8833
Au2 Au 0.9908 0.5000 0.1167
O1 O 0.4442 0.5000 0.3019
O2 O 0.9442 0.5000 0.6981
As1 As 0.9093 0.0000 0.2654
As2 As 0.4093 0.0000 0.7346
Pa1 Pa 0.9097 0.0000 0.7428
Pa2 Pa 0.4097 0.0000 0.2572
```

Values from the calculation:
E: -6.528 eV/atom
Space group: Pmc2_1, No. 26
Crystal system: orthorhombic

=====

| no. | mass density (g/cm³) |
| --- | --- |
| 1 | 8.39 |
| 2 | 9.24 |
| 3 | 9.61 |
| 4 | 8.47 |
| 5 | 5.48 |
| 6 | 8.53 |
| 7 | 13.02 |
| 8 | 9.99 |